The following is a DFT calculation (PBE+U) of crystalline PaCrBrO4 at its relaxed geometry.

```
data_PaCrBrO4
_chemical_formula_sum 'Pa4 Cr4 Br4 O16'
_cell_length_a 10.5228
_cell_length_b 6.9100
_cell_length_c 6.8516
_cell_angle_alpha 90.00
_cell_angle_beta 106.64
_cell_angle_gamma 90.00
_space_group_name_H-M_alt 'C 1 2/m 1'
_space_group_IT_number 12
_space_group_name_Hall '-C 2y'
loop_
_atom_site_label
_atom_site_type_symbol
_atom_site_fract_x
_atom_site_fract_y
_atom_site_fract_z
Pa1 Pa 0.2469 0.0000 0.1316
Cr1 Cr 0.1332 0.5000 0.2777
Br1 Br 0.0096 0.0000 0.7583
O1 O 0.0418 0.5000 0.7894
O2 O 0.2011 0.3119 0.1440
O3 O 0.2071 0.5000 0.5434
```

Calculated values
electronic total energy: -7.7835 eV per atom